Computed, not measured: crystalline CaNi2Pb at its relaxed geometry at the PBE level of DFT.

Output
Spin magnetization: 0.00 μB per atom
Volume: 83.9 Å³/cell
Formation enthalpy at 0 K: -0.11 eV per atom

a = 5.4932 Å, b = 5.4932 Å, c = 5.4932 Å
α = 48.01°, β = 48.01°, γ = 48.01°
Atoms (fractional coordinates):
Ca  0.0000  0.0000  0.0000
Ni  0.1922  0.1922  0.1922
Ni  0.8078  0.8078  0.8078
Pb  0.5000  0.5000  0.5000